This record from Alexandria describes an optimized crystal structure of PuPa2Cd. The functional is GGA-PBE.

abc: 3.5260 3.5260 10.0353
angles: 79.88 79.88 60.00
Element x y z (fractional)
Pa: 0.1093 0.1093 0.6722
Pa: 0.8907 0.8907 0.3278
Pu: 0.5000 0.5000 0.5000
Cd: 0.0000 0.0000 0.0000

## Properties
space-group type = R-3m (166)
raw total energy = -0.5822 Ry/atom
crystal system = trigonal